(1)
USn2Pd8 PBE optimized geometry; uncorrected energy = -5.980 eV per atom; energy of formation = -0.45 eV per atom; offset from the most stable computed form = 0.027 eV/atom; space group = P-1; V = 17.253 Å³/atom; size of the total moment = 1.54 μB/cell
1.0
4.965 -0.167 -0.649
-0.658 4.886 -0.926
0.404 0.753 7.646
U Sn Pd
1 2 8
Direct
0.500 0.000 0.000 U
0.904 0.198 0.712 Sn
0.096 0.802 0.288 Sn
0.430 0.450 0.817 Pd
0.031 0.267 0.089 Pd
0.969 0.733 0.911 Pd
0.654 0.090 0.357 Pd
0.346 0.910 0.643 Pd
0.774 0.637 0.549 Pd
0.570 0.550 0.183 Pd
0.226 0.363 0.451 Pd

---

(2)
USn2Pd8 PBE optimized geometry; uncorrected energy = -6.007 eV per atom; energy of formation = -0.48 eV per atom; offset from the most stable computed form = 0.000 eV/atom; space group = C2/m; V = 17.305 Å³/atom; size of the total moment = 1.10 μB/cell
1.0
4.167 0.000 0.000
0.000 6.607 0.147
-2.083 -2.666 6.855
Pd U Sn
8 1 2
Direct
0.854 0.795 0.708 Pd
0.146 0.205 0.292 Pd
0.675 0.920 0.349 Pd
0.963 0.263 0.926 Pd
0.037 0.737 0.074 Pd
0.405 0.552 0.809 Pd
0.325 0.080 0.651 Pd
0.595 0.448 0.191 Pd
0.500 0.000 0.000 U
0.790 0.338 0.580 Sn
0.210 0.662 0.420 Sn

---

(3)
U2SnPd2 PBE optimized geometry; uncorrected energy = -7.646 eV per atom; energy of formation = -0.25 eV per atom; space group = P4/mbm; V = 22.168 Å³/atom; size of the total moment = 9.12 μB/cell
1.0
-7.312 -0.143 2.181
0.390 -7.578 0.809
1.073 0.442 3.625
Pd U Sn
4 4 2
Direct
0.870 0.630 0.000 Pd
0.370 0.870 0.000 Pd
0.130 0.370 0.000 Pd
0.630 0.130 0.000 Pd
0.327 0.173 0.500 U
0.173 0.673 0.500 U
0.673 0.827 0.500 U
0.827 0.327 0.500 U
0.500 0.500 0.000 Sn
0.000 0.000 0.000 Sn

---

(4)
USnPd4 PBE optimized geometry; uncorrected energy = -6.388 eV per atom; energy of formation = -0.38 eV per atom; offset from the most stable computed form = 0.000 eV/atom; space group = F-43m; V = 18.401 Å³/atom; size of the total moment = 2.09 μB/cell
1.0
-4.136 0.736 3.369
0.744 -0.448 5.314
-0.182 4.383 3.123
Pd U Sn
4 1 1
Direct
0.625 0.125 0.625 Pd
0.625 0.625 0.625 Pd
0.625 0.625 0.125 Pd
0.125 0.625 0.625 Pd
0.250 0.250 0.250 U
0.000 0.000 0.000 Sn

---

(5)
USn6Pd12 PBE optimized geometry; uncorrected energy = -5.492 eV per atom; energy of formation = -0.35 eV per atom; space group = R-3m; V = 19.483 Å³/atom; size of the total moment = 2.16 μB/cell
1.0
-1.236 -7.477 -0.008
6.560 1.053 3.645
-5.374 3.025 4.404
Pd Sn U
12 6 1
Direct
0.119 0.500 0.881 Pd
0.119 0.881 0.500 Pd
0.881 0.119 0.500 Pd
0.346 0.106 0.346 Pd
0.894 0.654 0.654 Pd
0.881 0.500 0.119 Pd
0.500 0.881 0.119 Pd
0.654 0.894 0.654 Pd
0.106 0.346 0.346 Pd
0.500 0.119 0.881 Pd
0.346 0.346 0.106 Pd
0.654 0.654 0.894 Pd
0.689 0.279 0.279 Sn
0.721 0.311 0.721 Sn
0.311 0.721 0.721 Sn
0.279 0.689 0.279 Sn
0.279 0.279 0.689 Sn
0.721 0.721 0.311 Sn
0.000 0.000 0.000 U

---

(6)
USn2Pd PBE optimized geometry; uncorrected energy = -6.283 eV per atom; energy of formation = -0.16 eV per atom; space group = P4/mmm; V = 21.861 Å³/atom; size of the total moment = 3.33 μB/cell
1.0
3.269 0.000 0.000
0.000 3.269 0.000
0.000 0.000 8.185
Pd Sn U
1 2 1
Direct
0.500 0.500 0.000 Pd
0.000 0.000 0.212 Sn
0.000 0.000 0.788 Sn
0.500 0.500 0.500 U

---

(7)
USnPd2 PBE optimized geometry; uncorrected energy = -6.800 eV per atom; energy of formation = -0.38 eV per atom; space group = Pnma; V = 20.110 Å³/atom; size of the total moment = 8.46 μB/cell
1.0
4.973 0.000 0.000
0.000 7.974 0.000
0.000 0.000 8.113
Pd U Sn
8 4 4
Direct
0.250 0.579 0.019 Pd
0.250 0.079 0.481 Pd
0.750 0.796 0.979 Pd
0.250 0.204 0.021 Pd
0.750 0.296 0.521 Pd
0.250 0.704 0.479 Pd
0.750 0.421 0.981 Pd
0.750 0.921 0.519 Pd
0.250 0.378 0.716 U
0.750 0.622 0.284 U
0.250 0.878 0.784 U
0.750 0.122 0.216 U
0.250 0.380 0.317 Sn
0.250 0.880 0.183 Sn
0.750 0.120 0.817 Sn
0.750 0.620 0.683 Sn

---

(8)
USn3Pd12 PBE optimized geometry; uncorrected energy = -5.867 eV per atom; energy of formation = -0.52 eV per atom; space group = P4/mmm; V = 16.796 Å³/atom; size of the total moment = 1.51 μB/cell
1.0
-0.363 -0.161 -4.049
-2.013 -3.521 0.321
-14.038 8.110 0.935
Pd Sn U
12 3 1
Direct
0.500 0.500 0.252 Pd
0.000 0.500 0.126 Pd
0.000 0.500 0.377 Pd
0.000 0.500 0.623 Pd
0.500 0.500 0.748 Pd
0.500 0.000 0.377 Pd
0.500 0.000 0.874 Pd
0.500 0.000 0.623 Pd
0.500 0.000 0.126 Pd
0.000 0.500 0.874 Pd
0.500 0.500 0.000 Pd
0.500 0.500 0.500 Pd
0.000 0.000 0.500 Sn
0.000 0.000 0.256 Sn
0.000 0.000 0.744 Sn
0.000 0.000 0.000 U

---

(9)
UZnSnPd PBE optimized geometry; uncorrected energy = -5.644 eV per atom; energy of formation = -0.20 eV per atom; space group = F-43m; V = 20.161 Å³/atom; size of the total moment = 2.48 μB/cell
1.0
4.850 0.000 0.000
2.425 4.200 0.000
2.425 1.400 3.960
Pd Sn Zn U
1 1 1 1
Direct
0.000 0.000 0.000 Pd
0.250 0.250 0.250 Sn
0.500 0.500 0.500 Zn
0.750 0.750 0.750 U

---

(10)
VSnPd PBE optimized geometry; uncorrected energy = -6.168 eV per atom; energy of formation = -0.06 eV per atom; space group = F-43m; V = 19.351 Å³/atom; size of the total moment = 0.99 μB/cell
1.0
-1.489 -0.688 4.025
2.044 -2.797 2.625
2.235 1.471 3.425
Pd Sn V
1 1 1
Direct
0.750 0.750 0.750 Pd
0.000 0.000 0.000 Sn
0.500 0.500 0.500 V

---

(11)
V2SnPd2 PBE optimized geometry; uncorrected energy = -6.522 eV per atom; energy of formation = 0.00 eV per atom; space group = I4/mmm; V = 16.684 Å³/atom; size of the total moment = 0.00 μB/cell
1.0
3.417 0.000 0.000
0.000 3.417 0.000
1.708 1.708 7.147
Sn Pd V
1 2 2
Direct
0.000 0.000 0.000 Sn
0.398 0.398 0.204 Pd
0.602 0.602 0.796 Pd
0.250 0.750 0.500 V
0.750 0.250 0.500 V

---

(12)
VSn2Pd PBE optimized geometry; uncorrected energy = -5.423 eV per atom; energy of formation = 0.16 eV per atom; offset from the most stable computed form = 0.259 eV/atom; space group = R-3m; V = 19.951 Å³/atom; size of the total moment = 0.00 μB/cell
1.0
-1.594 -2.522 -0.811
0.224 -1.112 -2.876
6.940 -6.763 1.492
Sn V Pd
2 1 1
Direct
0.090 0.090 0.730 Sn
0.910 0.910 0.270 Sn
0.500 0.500 0.500 V
0.000 0.000 0.000 Pd

---

no.,D(E_F) (states/eV/atom)
1,0.887
2,0.819
3,2.977
4,1.887
5,0.806
6,1.631
7,1.905
8,0.699
9,2.130
10,1.687
11,0.898
12,0.589